Record 1
K2BeRe | Alexandria | meta-GGA SCAN | single point on PBEsol structure; space group = No. 99; theoretical density = 4.4 g/cm3; size of the total moment = 0.007 μB/atom; final energy = -1.6312 Ry/atom
1.0
3.2021 0.0000 0.0000
0.0000 3.2021 0.0000
0.0000 0.0000 10.0572
K Be Re
2 1 1
Direct
0.0000 0.0000 0.0000
0.5000 0.5000 0.4302
0.5000 0.5000 0.7329
0.0000 0.0000 0.6931

***

Record 2
K2BeRe | Alexandria | meta-GGA SCAN | single point on PBEsol structure; space group = No. 122; theoretical density = 2.6 g/cm3; size of the total moment = 0.645 μB/atom; final energy = -1.5792 Ry/atom
1.0
12.6931 0.0000 0.0000
0.0000 12.6931 0.0000
0.0000 0.0000 4.3338
K Be Re
8 4 4
Direct
0.0374 0.2500 0.1250
0.2500 0.5374 0.3750
0.2500 0.9626 0.8750
0.4626 0.2500 0.6250
0.5374 0.7500 0.6250
0.7500 0.0374 0.8750
0.7500 0.4626 0.3750
0.9626 0.7500 0.1250
0.0000 0.0000 0.5000
0.0000 0.5000 0.7500
0.5000 0.0000 0.2500
0.5000 0.5000 0.0000
0.0000 0.0000 0.0000
0.0000 0.5000 0.2500
0.5000 0.0000 0.7500
0.5000 0.5000 0.5000

***

Record 3
KBeRh3 | Alexandria | meta-GGA SCAN | single point on PBEsol structure; space group = No. 221; theoretical density = 7.6 g/cm3; size of the total moment = 0.000 μB/atom; final energy = -1.6413 Ry/atom
1.0
4.2655 0.0000 0.0000
0.0000 4.2655 0.0000
0.0000 0.0000 4.2655
K Be Rh
1 1 3
Direct
0.0000 0.0000 0.0000
0.5000 0.5000 0.5000
0.0000 0.5000 0.5000
0.5000 0.0000 0.5000
0.5000 0.5000 0.0000